A relaxed structure of Mn2TlPbO6, computed with PBE with a Hubbard U.

Lattice parameters (Å, degrees): 5.560 5.560 5.565 119.96 119.96 60.02
Fractional positions:
Mn: 0.248 0.248 0.245
Mn: 0.752 0.752 0.755
Tl: 0.000 0.000 0.500
Pb: 0.500 0.500 0.000
O: 0.000 0.399 0.501
O: 0.078 0.922 0.000
O: 0.399 0.601 0.500
O: 0.499 0.078 0.999
O: 0.601 0.000 0.499
O: 0.922 0.501 0.001

Calculated values
VASP energy ... -62.16 eV per formula unit
Size of the total moment ... 0.6990 μB/atom